# 1
ZrOsRu2, relaxed, DFT GGA-PBE; distance to the lowest polymorph of the same formula = 0.963 eV/f.u.; total energy = -37.77 eV/f.u.; energy of formation = 3.2 kcal/mol of atoms; spin magnetization = 1.44 μB per formula unit
1.0
3.310 0.000 0.000
0.000 3.310 0.000
0.000 0.000 5.901
Zr Ru Os
1 2 1
Cartesian
1.655 1.655 1.475
0.000 0.000 5.768
0.000 0.000 3.083
1.655 1.655 4.425

# 2
Zr3Os2Ru, relaxed, DFT GGA-PBE; total energy = -60.78 eV/f.u.; energy of formation = -13.1 kcal/mol of atoms; spin magnetization = 0.00 μB per formula unit
1.0
-2.799 -1.682 -0.193
0.918 -1.822 2.557
-4.313 6.470 6.157
Os Zr Ru
2 3 1
Cartesian
-4.529 3.632 6.306
-1.664 -0.666 2.216
-1.440 2.160 2.056
-2.873 4.310 4.101
0.000 0.000 0.000
-3.097 1.483 4.261

# 3
Zr6Os5Ru, relaxed, DFT GGA-PBE; total energy = -123.26 eV/f.u.; energy of formation = -12.6 kcal/mol of atoms; spin magnetization = 0.00 μB per formula unit
1.0
4.468 0.019 -1.304
-0.899 5.756 -2.998
-0.081 0.443 8.035
Os Ru Zr
5 1 6
Cartesian
2.802 1.120 1.311
0.685 5.097 2.423
-0.450 2.878 -1.499
1.136 2.222 3.926
2.351 3.996 -0.193
0.000 0.000 0.000
0.343 2.549 1.212
2.009 1.448 -1.401
3.594 0.790 4.021
3.145 3.669 2.521
1.559 4.328 -2.901
-0.107 5.428 -0.287